Material: Nb3AlMo
Method: DFT, GGA-PBE
State: relaxed

## Properties
V: 177.63 Å³/cell
ΔH_f (0 K): 122.7 meV per atom
ΔE to the lowest computed polymorph: 0.000 eV per formula unit
energy: -88.34 eV per cell

Lattice parameters (Å, degrees): 5.622 5.622 5.622 89.55 89.55 89.55
Atoms (fractional coordinates):
Nb 0.055 0.396 0.731
Nb 0.269 0.945 0.604
Nb 0.396 0.731 0.055
Nb 0.604 0.269 0.945
Nb 0.731 0.055 0.396
Nb 0.945 0.604 0.269
Al 0.381 0.381 0.381
Al 0.619 0.619 0.619
Mo 0.134 0.134 0.134
Mo 0.866 0.866 0.866